## KCdH2 (PBE-GGA)

Data for an optimized crystal structure of KCdH2.

Summary:
* volume: 16.74 Å³ per atom
* space group: Fm-3m (225)
* distance to the lowest polymorph of the same formula: 0.392 eV per atom

POSCAR file:
```
KCdH2
1.0
0.000 3.223 3.223
3.223 0.000 3.223
3.223 3.223 0.000
K Cd H
1 1 2
Direct
0.000 0.000 0.000 K
0.500 0.500 0.500 Cd
0.250 0.250 0.250 H
0.750 0.750 0.750 H
```


## AlSeS (PBE-GGA)

Data for an optimized crystal structure of AlSeS.

Summary:
* E_form (uncorrected): -1.9 eV per formula unit
* volume: 21.07 Å³ per atom
* space group: Pmmn (59)
* distance to the lowest polymorph of the same formula: 0.000 eV per atom

POSCAR file:
```
AlSeS
1.0
3.967 0.000 0.000
0.000 4.803 0.000
0.000 0.000 6.636
Al Se S
2 2 2
Direct
0.250 0.250 0.143 Al
0.750 0.750 0.857 Al
0.250 0.250 0.501 Se
0.750 0.750 0.499 Se
0.250 0.750 0.050 S
0.750 0.250 0.950 S
```


## ThSc5Ru6 (PBE-GGA)

Data for an optimized crystal structure of ThSc5Ru6.

Summary:
* volume: 17.36 Å³ per atom
* space group: P2/m (10)
* energy relative to the elements: -571 meV/atom

POSCAR file:
```
ThSc5Ru6
1.0
4.620 0.000 0.000
0.000 6.528 0.000
-2.290 0.000 6.908
Th Sc Ru
1 5 6
Direct
0.000 0.000 0.000 Th
0.000 0.500 0.000 Sc
0.326 0.000 0.653 Sc
0.332 0.500 0.664 Sc
0.668 0.500 0.336 Sc
0.674 0.000 0.347 Sc
0.166 0.251 0.332 Ru
0.166 0.749 0.332 Ru
0.500 0.251 0.000 Ru
0.500 0.749 0.000 Ru
0.834 0.251 0.668 Ru
0.834 0.749 0.668 Ru
```


## Pm5PrEr5 (PBE-GGA)

Data for an optimized crystal structure of Pm5PrEr5.

Summary:
* volume: 34.61 Å³ per atom
* space group: P-6m2 (187)
* energy relative to the elements: 290 meV/atom

POSCAR file:
```
Pm5PrEr5
1.0
6.100 0.000 0.000
-3.050 5.283 0.000
0.000 0.000 11.814
Pm Pr Er
5 1 5
Direct
0.000 0.000 0.000 Pm
0.333 0.667 0.320 Pm
0.333 0.667 0.680 Pm
0.667 0.333 0.156 Pm
0.667 0.333 0.844 Pm
0.333 0.667 0.000 Pr
0.000 0.000 0.266 Er
0.000 0.000 0.734 Er
0.333 0.166 0.500 Er
0.834 0.166 0.500 Er
0.834 0.667 0.500 Er
```


## TaSbPt (PBE-GGA)

Data for an optimized crystal structure of TaSbPt.

Summary:
* E_form (uncorrected): -0.2 eV per formula unit
* volume: 19.26 Å³ per atom
* space group: P3m1 (156)

POSCAR file:
```
TaSbPt
1.0
3.094 0.000 0.000
-1.547 2.679 0.000
0.000 0.000 6.970
Ta Sb Pt
1 1 1
Direct
0.000 0.000 0.000 Ta
0.333 0.667 0.651 Sb
0.667 0.333 0.296 Pt
```


## ScTlF3 (PBE-GGA)

Data for an optimized crystal structure of ScTlF3.

Summary:
* E_form (uncorrected): -13.8 eV per formula unit
* volume: 16.27 Å³ per atom
* space group: Pm-3m (221)
* distance to the lowest polymorph of the same formula: 0.000 eV per atom

POSCAR file:
```
ScTlF3
1.0
4.333 0.000 0.000
0.000 4.333 0.000
0.000 0.000 4.333
Sc Tl F
1 1 3
Direct
0.000 0.000 0.000 Sc
0.500 0.500 0.500 Tl
0.000 0.000 0.500 F
0.000 0.500 0.000 F
0.500 0.000 0.000 F
```


## K5Ag3Cl12 (PBE-GGA)

Data for an optimized crystal structure of K5Ag3Cl12.

Summary:
* E_form (uncorrected): -19.4 eV per formula unit
* volume: 37.28 Å³ per atom
* space group: Ia-3d (230)

POSCAR file:
```
K5Ag3Cl12
1.0
-9.068 9.068 9.068
9.068 -9.068 9.068
9.068 9.068 -9.068
K Ag Cl
20 12 48
Direct
0.000 0.000 0.000 K
0.000 0.000 0.500 K
0.000 0.500 0.000 K
0.000 0.500 0.500 K
0.125 0.750 0.875 K
0.125 0.875 0.250 K
0.250 0.125 0.875 K
0.250 0.625 0.375 K
0.375 0.250 0.625 K
0.375 0.625 0.750 K
0.500 0.000 0.000 K
0.500 0.000 0.500 K
0.500 0.500 0.000 K
0.500 0.500 0.500 K
0.625 0.375 0.250 K
0.625 0.750 0.375 K
0.750 0.375 0.625 K
0.750 0.875 0.125 K
0.875 0.125 0.750 K
0.875 0.250 0.125 K
0.125 0.250 0.375 Ag
0.125 0.375 0.750 Ag
0.250 0.375 0.125 Ag
0.250 0.875 0.625 Ag
0.375 0.125 0.250 Ag
0.375 0.750 0.125 Ag
0.625 0.250 0.875 Ag
0.625 0.875 0.750 Ag
0.750 0.125 0.375 Ag
0.750 0.625 0.875 Ag
0.875 0.625 0.250 Ag
0.875 0.750 0.625 Ag
0.013 0.703 0.646 Cl
0.013 0.810 0.366 Cl
0.057 0.203 0.190 Cl
0.057 0.354 0.866 Cl
0.134 0.690 0.487 Cl
0.134 0.943 0.646 Cl
0.146 0.203 0.513 Cl
0.146 0.443 0.634 Cl
0.190 0.057 0.203 Cl
0.190 0.634 0.987 Cl
0.203 0.190 0.057 Cl
0.203 0.513 0.146 Cl
0.297 0.354 0.987 Cl
0.297 0.443 0.310 Cl
0.310 0.297 0.443 Cl
0.310 0.513 0.866 Cl
0.354 0.866 0.057 Cl
0.354 0.987 0.297 Cl
0.366 0.013 0.810 Cl
0.366 0.854 0.557 Cl
0.443 0.310 0.297 Cl
0.443 0.634 0.146 Cl
0.487 0.134 0.690 Cl
0.487 0.854 0.797 Cl
0.513 0.146 0.203 Cl
0.513 0.866 0.310 Cl
0.557 0.366 0.854 Cl
0.557 0.690 0.703 Cl
0.634 0.146 0.443 Cl
0.634 0.987 0.190 Cl
0.646 0.013 0.703 Cl
0.646 0.134 0.943 Cl
0.690 0.487 0.134 Cl
0.690 0.703 0.557 Cl
0.703 0.557 0.690 Cl
0.703 0.646 0.013 Cl
0.797 0.487 0.854 Cl
0.797 0.810 0.943 Cl
0.810 0.366 0.013 Cl
0.810 0.943 0.797 Cl
0.854 0.557 0.366 Cl
0.854 0.797 0.487 Cl
0.866 0.057 0.354 Cl
0.866 0.310 0.513 Cl
0.943 0.646 0.134 Cl
0.943 0.797 0.810 Cl
0.987 0.190 0.634 Cl
0.987 0.297 0.354 Cl
```


## InGaAu14 (PBE-GGA)

Data for an optimized crystal structure of InGaAu14.

Summary:
* volume: 18.32 Å³ per atom
* space group: Amm2 (38)
* energy relative to the elements: -31 meV/atom

POSCAR file:
```
InGaAu14
1.0
9.075 0.000 0.000
0.000 3.579 4.513
0.000 -3.579 4.513
In Ga Au
1 1 14
Direct
0.000 0.000 0.000 In
0.000 0.446 0.446 Ga
0.000 0.516 0.939 Au
0.000 0.939 0.516 Au
0.238 0.284 0.726 Au
0.238 0.726 0.284 Au
0.240 0.235 0.235 Au
0.270 0.778 0.778 Au
0.500 0.022 0.022 Au
0.500 0.067 0.510 Au
0.500 0.510 0.067 Au
0.500 0.553 0.553 Au
0.730 0.778 0.778 Au
0.760 0.235 0.235 Au
0.762 0.284 0.726 Au
0.762 0.726 0.284 Au
```